# PBE-GGA Sr2OsAu, relaxed
# Relative energy among the computed polymorphs, meV/atom: 218
# ΔE_f, eV/atom: 0.432
# Size of the total moment, μB per atom: 0.1871
data_Sr2OsAu
_cell_length_a 4.493
_cell_length_b 4.493
_cell_length_c 9.880
_cell_angle_alpha 90.00
_cell_angle_beta 90.00
_cell_angle_gamma 90.00
_space_group_name_H-M_alt 'I -4 m 2'
_space_group_IT_number 119
_space_group_name_Hall 'I -4 -2'
loop_
_atom_site_label
_atom_site_type_symbol
_atom_site_fract_x
_atom_site_fract_y
_atom_site_fract_z
Sr1 Sr 0.000 0.000 0.000
Sr2 Sr 0.000 0.500 0.250
Os1 Os 0.000 0.000 0.500
Au1 Au 0.000 0.500 0.750